Compound: YMg2F
Source: Alexandria
Functional: PBE
Structure: optimized geometry

Formation energy from raw total energies   -0.21 eV/atom
Space group   Fm-3m
Volume   97 Å³ per cell
Magnetization   1.06 μB per cell
Energy above the lowest structure with this stoichiometry   750 meV/atom

extended XYZ file:
```
4
Lattice="0.000 3.649 3.649 3.649 0.000 3.649 3.649 3.649 0.000" Properties=species:S:1:pos:R:3 pbc="T T T"
Y 0.000 0.000 0.000
Mg 1.825 1.825 1.825
Mg 5.474 5.474 5.474
F 3.649 3.649 3.649
```

Compound: Sc4C3
Source: Alexandria
Functional: PBE
Structure: optimized geometry

Energy of formation   0.950 eV per atom
Space group   P6/mmm
Volume   92 Å³ per cell
Magnetization   0.00 μB per cell
Energy above the lowest structure with this stoichiometry   1437 meV/atom

extended XYZ file:
```
7
Lattice="4.783 0.000 0.000 -2.391 4.142 0.000 0.000 0.000 4.653" Properties=species:S:1:pos:R:3 pbc="T T T"
Sc 0.000 0.000 1.054
Sc 0.000 0.000 3.599
Sc 0.000 2.761 2.327
Sc 2.391 1.381 2.327
C -1.196 2.071 0.000
C 2.391 0.000 0.000
C 1.196 2.071 0.000
```

Compound: FeReSi4
Source: Alexandria
Functional: PBE
Structure: optimized geometry

Formation energy from raw total energies   0.54 eV/atom
Space group   F-43m
Volume   77 Å³ per cell
Magnetization   2.14 μB per cell

extended XYZ file:
```
6
Lattice="0.000 3.371 3.371 3.371 0.000 3.371 3.371 3.371 0.000" Properties=species:S:1:pos:R:3 pbc="T T T"
Fe 0.000 0.000 0.000
Re 5.056 5.056 5.056
Si 2.528 2.528 2.528
Si 4.213 4.213 2.528
Si 4.213 2.528 4.213
Si 2.528 4.213 4.213
```

Compound: K2AgW
Source: Alexandria
Functional: PBE
Structure: optimized geometry

Energy of formation   1.483 eV per atom
Space group   I4/mmm
Volume   115 Å³ per cell
Magnetization   4.15 μB per cell
Energy above the lowest structure with this stoichiometry   461 meV/atom

extended XYZ file:
```
4
Lattice="-2.263 2.263 5.598 2.263 -2.263 5.598 2.263 2.263 -5.598" Properties=species:S:1:pos:R:3 pbc="T T T"
K 2.263 0.000 2.799
K 0.000 2.263 2.799
Ag 0.000 0.000 0.000
W 0.000 0.000 5.598
```

Compound: BCF2
Source: Alexandria
Functional: PBE
Structure: optimized geometry

Formation energy from raw total energies   0.98 eV/atom
Space group   R-3m
Volume   41 Å³ per cell
Magnetization   0.06 μB per cell
Energy above the lowest structure with this stoichiometry   464 meV/atom

extended XYZ file:
```
4
Lattice="1.094 0.632 9.840 -1.094 0.632 9.840 0.000 -1.263 9.840" Properties=species:S:1:pos:R:3 pbc="T T T"
B 0.000 0.000 0.000
C 0.000 0.000 14.761
F 0.000 0.000 13.384
F 0.000 0.000 16.138
```

Compound: Sr4P2I
Source: Alexandria
Functional: PBE
Structure: optimized geometry

Formation energy from raw total energies   -1.09 eV/atom
Space group   Imma
Volume   571 Å³ per cell
Magnetization   0.00 μB per cell
Energy above the lowest structure with this stoichiometry   95 meV/atom

extended XYZ file:
```
14
Lattice="-4.654 4.658 6.584 4.654 -4.658 6.584 4.654 4.658 -6.584" Properties=species:S:1:pos:R:3 pbc="T T T"
Sr 1.945 2.329 0.270
Sr 2.708 -2.329 6.853
Sr 0.000 0.385 3.020
Sr 4.654 0.385 3.563
Sr 0.000 4.273 3.020
Sr 4.654 4.273 3.563
Sr 1.945 6.987 -0.270
Sr 2.708 2.329 6.314
P 0.000 0.000 0.000
P -2.327 2.329 3.292
P 0.000 4.658 0.000
P 2.327 2.329 3.292
I 4.654 2.329 -1.653
I 0.000 2.329 8.237
```

Compound: Ca2AlIn
Source: Alexandria
Functional: PBE
Structure: optimized geometry

Energy of formation   -0.043 eV per atom
Space group   F-43m
Volume   110 Å³ per cell
Magnetization   0.00 μB per cell
Energy above the lowest structure with this stoichiometry   281 meV/atom

extended XYZ file:
```
4
Lattice="0.000 3.798 3.798 3.798 0.000 3.798 3.798 3.798 0.000" Properties=species:S:1:pos:R:3 pbc="T T T"
Ca 0.000 0.000 0.000
Ca 1.899 1.899 1.899
Al 5.696 5.696 5.696
In 3.798 3.798 3.798
```

Compound: Ba2PIr
Source: Alexandria
Functional: PBE
Structure: optimized geometry

Energy of formation   0.100 eV per atom
Space group   I-4m2
Volume   113 Å³ per cell
Magnetization   0.87 μB per cell

extended XYZ file:
```
4
Lattice="-2.301 2.301 5.317 2.301 -2.301 5.317 2.301 2.301 -5.317" Properties=species:S:1:pos:R:3 pbc="T T T"
Ba 0.000 0.000 0.000
Ba 0.000 2.301 2.659
P 0.000 0.000 5.317
Ir 2.301 0.000 2.659
```

Compound: LaIn2W
Source: Alexandria
Functional: PBE
Structure: optimized geometry

Energy of formation   0.319 eV per atom
Space group   C2/m
Volume   96 Å³ per cell
Magnetization   0.00 μB per cell
Energy above the lowest structure with this stoichiometry   59 meV/atom

extended XYZ file:
```
4
Lattice="5.099 -1.576 0.000 5.099 1.576 0.000 -1.045 0.000 5.958" Properties=species:S:1:pos:R:3 pbc="T T T"
La 0.000 0.000 0.000
In 1.663 0.000 4.198
In 7.490 0.000 1.760
W 4.577 0.000 2.979
```

Compound: Mn2SiMo
Source: Alexandria
Functional: PBE
Structure: optimized geometry

Formation energy from raw total energies   -0.02 eV/atom
Space group   C2/m
Volume   51 Å³ per cell
Magnetization   3.07 μB per cell

extended XYZ file:
```
4
Lattice="2.558 -4.148 0.000 2.558 4.148 0.000 -1.056 0.000 2.420" Properties=species:S:1:pos:R:3 pbc="T T T"
Mn 1.279 2.074 0.000
Mn 1.279 -2.074 0.000
Si -0.528 0.000 1.210
Mo 2.029 0.000 1.210
```

Compound: CuHgPS2
Source: Alexandria
Functional: PBE
Structure: optimized geometry

Formation energy from raw total energies   1.34 eV/atom
Space group   P4/mmm
Volume   127 Å³ per cell
Magnetization   1.47 μB per cell
Energy above the lowest structure with this stoichiometry   654 meV/atom

extended XYZ file:
```
5
Lattice="5.058 0.000 0.000 0.000 5.058 0.000 0.000 0.000 4.954" Properties=species:S:1:pos:R:3 pbc="T T T"
Cu 0.000 0.000 0.000
Hg 2.529 2.529 2.477
P 2.529 2.529 0.000
S 0.000 2.529 2.477
S 2.529 0.000 2.477
```

Compound: Nd3Dy2Cd
Source: Alexandria
Functional: PBE
Structure: optimized geometry

Energy of formation   -0.087 eV per atom
Space group   P4/mmm
Volume   191 Å³ per cell
Magnetization   0.00 μB per cell
Energy above the lowest structure with this stoichiometry   0 meV/atom

extended XYZ file:
```
6
Lattice="3.650 0.000 0.000 0.000 3.650 0.000 0.000 0.000 14.353" Properties=species:S:1:pos:R:3 pbc="T T T"
Nd 0.000 0.000 0.000
Nd 0.000 0.000 5.041
Nd 0.000 0.000 9.312
Dy 1.825 1.825 2.510
Dy 1.825 1.825 11.843
Cd 1.825 1.825 7.177
```

Compound: CdReF2
Source: Alexandria
Functional: PBE
Structure: optimized geometry

Formation energy from raw total energies   -0.20 eV/atom
Space group   I-42d
Volume   180 Å³ per cell
Magnetization   7.95 μB per cell
Energy above the lowest structure with this stoichiometry   795 meV/atom

extended XYZ file:
```
8
Lattice="-3.972 3.972 2.848 3.972 -3.972 2.848 3.972 3.972 -2.848" Properties=species:S:1:pos:R:3 pbc="T T T"
Cd 0.000 0.000 0.000
Cd 0.000 3.972 1.424
Re 3.972 0.000 1.424
Re 0.000 0.000 2.848
F 1.986 3.408 -0.712
F 4.535 1.986 0.712
F 1.986 0.564 2.136
F -0.564 1.986 3.560
```

Compound: TbYHg5
Source: Alexandria
Functional: PBE
Structure: optimized geometry

Energy of formation   -0.271 eV per atom
Space group   P4/mmm
Volume   185 Å³ per cell
Magnetization   0.00 μB per cell

extended XYZ file:
```
7
Lattice="4.608 0.000 0.000 0.000 4.608 0.000 0.000 0.000 8.713" Properties=species:S:1:pos:R:3 pbc="T T T"
Tb 0.000 0.000 0.000
Y 2.304 2.304 4.356
Hg 0.000 0.000 4.356
Hg 0.000 2.304 2.076
Hg 0.000 2.304 6.637
Hg 2.304 0.000 2.076
Hg 2.304 0.000 6.637
```